## SmZrIn2 (PBE-GGA)

Data for an optimized crystal structure of SmZrIn2.

abc: 10.6323 10.6323 10.6323
angles: 18.27 18.27 18.27
Closest atoms and distances in Å follow each position.
Sites, in units of the cell vectors:
1 Sm 0.0000 0.0000 0.0000  6 In 3.37, 6 Sm 3.38
2 Zr 0.5000 0.5000 0.5000  6 In 3.15, 6 Zr 3.38
3 In 0.2455 0.2455 0.2455  3 Zr 3.15, 3 Sm 3.37, 6 In 3.38
4 In 0.7545 0.7545 0.7545  3 Zr 3.15, 3 Sm 3.37, 6 In 3.38

Calculated values
Symmetry   R-3m
Energy of formation   -0.1715 eV per atom



## SmZrIn6 (PBE-GGA)

Data for an optimized crystal structure of SmZrIn6.

abc: 4.6068 4.6068 9.1582
angles: 90.00 90.00 90.00
Closest atoms and distances in Å follow each position.
Sites, in units of the cell vectors:
1 Sm 0.0000 0.0000 0.0000  12 In 3.26-3.31
2 Zr 0.0000 0.0000 0.5000  12 In 3.19-3.26
3 In 0.0000 0.5000 0.2588  2 Zr 3.19, 8 In 3.19-3.31, 2 Sm 3.31
4 In 0.0000 0.5000 0.7412  2 Zr 3.19, 8 In 3.19-3.31, 2 Sm 3.31
5 In 0.5000 0.0000 0.2588  2 Zr 3.19, 8 In 3.19-3.31, 2 Sm 3.31
6 In 0.5000 0.0000 0.7412  2 Zr 3.19, 8 In 3.19-3.31, 2 Sm 3.31
7 In 0.5000 0.5000 0.0000  4 Sm 3.26, 8 In 3.31
8 In 0.5000 0.5000 0.5000  8 In 3.19, 4 Zr 3.26

Calculated values
Symmetry   P4/mmm
Energy of formation   -0.3196 eV per atom



## Sm2ZrIn (PBE-GGA)

Data for an optimized crystal structure of Sm2ZrIn.

abc: 3.4060 3.4060 9.6591
angles: 90.00 90.00 90.00
Closest atoms and distances in Å follow each position.
Sites, in units of the cell vectors:
1 Sm 0.0000 0.0000 0.2471  4 In 3.39, 4 Sm 3.41, 4 Zr 3.43
2 Sm 0.0000 0.0000 0.7529  4 In 3.39, 4 Sm 3.41, 4 Zr 3.43
3 Zr 0.5000 0.5000 0.5000  4 Zr 3.41, 8 Sm 3.43
4 In 0.5000 0.5000 0.0000  8 Sm 3.39, 4 In 3.41

Calculated values
Symmetry   P4/mmm
Excess energy over the best structure of this formula in the dataset   0.035 eV/atom
Energy of formation   -0.1408 eV per atom



## SmZrIn2 (PBE-GGA)

Data for an optimized crystal structure of SmZrIn2.

abc: 4.7525 4.7525 4.4162
angles: 90.00 90.00 90.00
Closest atoms and distances in Å follow each position.
Sites, in units of the cell vectors:
1 Sm 0.0000 0.0000 0.0000  8 In 3.24, 4 Zr 3.36
2 Zr 0.5000 0.5000 0.0000  8 In 3.24, 4 Sm 3.36
3 In 0.0000 0.5000 0.5000  4 Zr 3.24, 4 Sm 3.24, 4 In 3.36
4 In 0.5000 0.0000 0.5000  4 Zr 3.24, 4 Sm 3.24, 4 In 3.36

Calculated values
Symmetry   P4/mmm
Energy of formation   -0.3028 eV per atom



## Sm2ZrIn (PBE-GGA)

Data for an optimized crystal structure of Sm2ZrIn.

abc: 4.7315 4.7315 4.8187
angles: 90.00 90.00 90.00
Closest atoms and distances in Å follow each position.
Sites, in units of the cell vectors:
1 Sm 0.0000 0.5000 0.0000  4 Sm 3.35, 4 Zr 3.38, 4 In 3.38
2 Sm 0.5000 0.0000 0.0000  4 Sm 3.35, 4 Zr 3.38, 4 In 3.38
3 Zr 0.0000 0.0000 0.5000  4 In 3.35, 8 Sm 3.38
4 In 0.5000 0.5000 0.5000  4 Zr 3.35, 8 Sm 3.38

Calculated values
Symmetry   P4/mmm
Excess energy over the best structure of this formula in the dataset   0.000 eV/atom
Energy of formation   -0.1758 eV per atom



## Sm2ZrIn (PBE-GGA)

Data for an optimized crystal structure of Sm2ZrIn.

abc: 5.4261 5.4261 5.4261
angles: 60.00 60.00 60.00
Closest atoms and distances in Å follow each position.
Sites, in units of the cell vectors:
1 Sm 0.2500 0.2500 0.2500  4 Zr 3.32, 4 In 3.32
2 Sm 0.7500 0.7500 0.7500  4 Zr 3.32, 4 In 3.32
3 Zr 0.0000 0.0000 0.0000  8 Sm 3.32
4 In 0.5000 0.5000 0.5000  8 Sm 3.32

Calculated values
Symmetry   Fm-3m
Excess energy over the best structure of this formula in the dataset   0.125 eV/atom
Energy of formation   -0.0505 eV per atom



## Sm5ZrIn6 (PBE-GGA)

Data for an optimized crystal structure of Sm5ZrIn6.

abc: 8.9589 8.9589 5.5961
angles: 96.05 96.05 46.25
Closest atoms and distances in Å follow each position.
Sites, in units of the cell vectors:
1 Sm 0.0000 0.0000 0.0000  8 In 3.26-3.37, 2 Sm 3.45, 2 Zr 3.52
2 Sm 0.1666 0.1666 0.6782  8 In 3.32-3.38, 4 Sm 3.45-3.56
3 Sm 0.3292 0.3292 0.3119  8 In 3.26-3.36, 1 Zr 3.48, 3 Sm 3.52-3.56
4 Sm 0.6708 0.6708 0.6881  8 In 3.26-3.36, 1 Zr 3.48, 3 Sm 3.52-3.56
5 Sm 0.8334 0.8334 0.3218  8 In 3.32-3.38, 4 Sm 3.45-3.56
6 Zr 0.5000 0.5000 0.0000  8 In 3.18-3.24, 4 Sm 3.48-3.52
7 In 0.1014 0.5803 0.8189  1 Zr 3.18, 7 Sm 3.26-3.37, 2 In 3.34-3.37
8 In 0.2676 0.7324 0.5000  2 Zr 3.24, 3 In 3.27-3.34, 6 Sm 3.32-3.38
9 In 0.4197 0.8986 0.1811  1 Zr 3.18, 7 Sm 3.26-3.37, 2 In 3.34-3.37
10 In 0.5803 0.1014 0.8189  1 Zr 3.18, 7 Sm 3.26-3.37, 2 In 3.34-3.37
11 In 0.7324 0.2676 0.5000  2 Zr 3.24, 3 In 3.27-3.34, 6 Sm 3.32-3.38
12 In 0.8986 0.4197 0.1811  1 Zr 3.18, 7 Sm 3.26-3.37, 2 In 3.34-3.37

Calculated values
Symmetry   C2/m
Energy of formation   -0.4317 eV per atom



## SmZrIn (PBE-GGA)

Data for an optimized crystal structure of SmZrIn.

abc: 5.2386 5.2386 3.1611
angles: 90.00 90.00 120.00
Closest atoms and distances in Å follow each position.
Sites, in units of the cell vectors:
1 Sm 0.0000 0.0000 0.0000  3 Zr 3.02, 2 Sm 3.16
2 Zr 0.3333 0.6667 0.9976  3 Sm 3.02, 2 Zr 3.16
3 In 0.6667 0.3333 0.4996  2 In 3.16, 6 Zr 3.41-3.42, 6 Sm 3.41

Calculated values
Symmetry   P3m1
Excess energy over the best structure of this formula in the dataset   0.210 eV/atom
Energy of formation   0.0400 eV per atom



## SmZrIn (PBE-GGA)

Data for an optimized crystal structure of SmZrIn.

abc: 7.1910 7.1910 7.1910
angles: 152.52 152.52 39.26
Closest atoms and distances in Å follow each position.
Sites, in units of the cell vectors:
1 Sm 0.0000 0.0000 0.0000  4 In 3.37, 4 Zr 3.41, 4 Sm 3.42
2 Zr 0.3219 0.3219 0.0000  4 In 3.14, 4 Sm 3.41, 4 Zr 3.42
3 In 0.6738 0.6738 0.0000  4 Zr 3.14, 4 Sm 3.37, 4 In 3.42

Calculated values
Symmetry   I4mm
Excess energy over the best structure of this formula in the dataset   0.000 eV/atom
Energy of formation   -0.1698 eV per atom



## SmZrIn2 (PBE-GGA)

Data for an optimized crystal structure of SmZrIn2.

abc: 3.8374 3.8374 6.8167
angles: 90.00 90.00 90.00
Closest atoms and distances in Å follow each position.
Sites, in units of the cell vectors:
1 Sm 0.0000 0.0000 0.0000  8 In 3.29, 2 Zr 3.41
2 Zr 0.0000 0.0000 0.5000  8 In 3.12, 2 Sm 3.41
3 In 0.5000 0.5000 0.2741  1 In 3.08, 4 Zr 3.12, 4 Sm 3.29
4 In 0.5000 0.5000 0.7259  1 In 3.08, 4 Zr 3.12, 4 Sm 3.29

Calculated values
Symmetry   P4/mmm
Energy of formation   -0.3097 eV per atom



## InSn4 (PBE-GGA)

Data for an optimized crystal structure of InSn4.

abc: 5.2116 7.1396 8.4566
angles: 90.00 91.60 90.00
Closest atoms and distances in Å follow each position.
Sites, in units of the cell vectors:
1 In 0.0000 0.0000 0.0000  6 Sn 3.02-3.15
2 In 0.0000 0.5000 0.5000  6 Sn 3.02-3.15
3 Sn 0.2259 0.1833 0.6954  3 Sn 2.97-3.08, 2 In 3.02-3.15
4 Sn 0.2259 0.3167 0.1954  3 Sn 2.97-3.08, 2 In 3.02-3.15
5 Sn 0.3782 0.6885 0.0688  4 Sn 2.97-3.21, 1 In 3.02
6 Sn 0.3782 0.8115 0.5688  4 Sn 2.97-3.21, 1 In 3.02
7 Sn 0.6218 0.1885 0.4312  4 Sn 2.97-3.21, 1 In 3.02
8 Sn 0.6218 0.3115 0.9312  4 Sn 2.97-3.21, 1 In 3.02
9 Sn 0.7741 0.6833 0.8046  3 Sn 2.97-3.08, 2 In 3.02-3.15
10 Sn 0.7741 0.8167 0.3046  3 Sn 2.97-3.08, 2 In 3.02-3.15

Calculated values
Symmetry   P2_1/c
Excess energy over the best structure of this formula in the dataset   0.104 eV/atom
Energy of formation   0.1194 eV per atom



## In5Sn (PBE-GGA)

Data for an optimized crystal structure of In5Sn.

abc: 6.0355 9.7288 6.0929
angles: 90.00 113.85 90.00
Closest atoms and distances in Å follow each position.
Sites, in units of the cell vectors:
1 In 0.0011 0.0843 0.2510  10 In 3.22-3.47, 2 Sn 3.42
2 In 0.0011 0.4157 0.2510  10 In 3.22-3.47, 2 Sn 3.42
3 In 0.0021 0.2500 0.7517  10 In 3.25-3.45, 2 Sn 3.31
4 In 0.4988 0.5844 0.2491  9 In 3.22-3.47, 3 Sn 3.25-3.45
5 In 0.4988 0.9156 0.2491  9 In 3.22-3.47, 3 Sn 3.25-3.45
6 In 0.5012 0.0844 0.7509  9 In 3.22-3.47, 3 Sn 3.25-3.45
7 In 0.5012 0.4156 0.7509  9 In 3.22-3.47, 3 Sn 3.25-3.45
8 In 0.9979 0.7500 0.2483  10 In 3.25-3.45, 2 Sn 3.31
9 In 0.9989 0.5843 0.7490  10 In 3.22-3.47, 2 Sn 3.42
10 In 0.9989 0.9157 0.7490  10 In 3.22-3.47, 2 Sn 3.42
11 Sn 0.4981 0.7500 0.7483  12 In 3.25-3.45
12 Sn 0.5019 0.2500 0.2517  12 In 3.25-3.45

Calculated values
Symmetry   P2_1/m
Excess energy over the best structure of this formula in the dataset   0.000 eV/atom
Energy of formation   0.0138 eV per atom